Crystalline CaNd at its relaxed geometry. Source: the Alexandria database, functional PBE-GGA.

**Space group**: P-3m1, No. 164
**Total DFT energy (no corrections)**: -3.35 eV per atom
**Crystal system**: trigonal
**Polymorph energy (0 for the lowest one)**: 0.0000 eV/atom
**ΔH_f (0 K)**: 0.037 eV/atom

a = 3.7743 Å, b = 3.7743 Å, c = 12.4744 Å
α = 90.00°, β = 90.00°, γ = 120.00°
With the nearest neighbours (Å) after each atom.
Fractional coordinates of all 4 atoms:
Ca  0.3333  0.6667  0.3686  9 Ca 3.77-3.94, 3 Nd 3.86
Ca  0.6667  0.3333  0.6314  9 Ca 3.77-3.94, 3 Nd 3.86
Nd  0.3333  0.6667  0.8868  9 Nd 3.57-3.77, 3 Ca 3.86
Nd  0.6667  0.3333  0.1132  9 Nd 3.57-3.77, 3 Ca 3.86